This record from Alexandria describes an optimized crystal structure of CoF3. The functional is GGA+U.

Magnetic moment = 4.00 μB per formula unit
Electronic total energy = -14.9 eV for the cell shown

a b c (Å): 3.7851 3.7851 3.7851
angles (deg): 60.00 60.00 60.00
Last column: nearest neighbours and their distance in Å.
Sites, in units of the cell vectors:
Co  0.5000  0.5000  0.5000  8 F 2.32
F  0.2500  0.2500  0.2500  4 F 2.32, 4 Co 2.32
F  0.7500  0.7500  0.7500  4 Co 2.32, 4 F 2.32
F  0.0000  0.0000  0.0000  8 F 2.32